Computed, not measured: a relaxed structure of Ba2PaBi3 at the PBE-GGA level of DFT.

Cell lengths 16.040, 15.290, 8.456 Å; angles 79.30, 69.50, 31.20 degrees
Element x y z (fractional)
Ba 0.046 0.046 0.204
Ba 0.120 0.120 0.630
Ba 0.204 0.204 0.046
Ba 0.370 0.370 0.880
Ba 0.630 0.630 0.120
Ba 0.796 0.796 0.954
Ba 0.880 0.880 0.370
Ba 0.954 0.954 0.796
Pa 0.291 0.291 0.459
Pa 0.459 0.459 0.291
Pa 0.541 0.541 0.709
Pa 0.709 0.709 0.541
Bi 0.035 0.535 0.254
Bi 0.166 0.584 0.584
Bi 0.254 0.677 0.035
Bi 0.323 0.746 0.465
Bi 0.416 0.834 0.834
Bi 0.465 0.965 0.323
Bi 0.535 0.035 0.677
Bi 0.584 0.166 0.166
Bi 0.677 0.254 0.535
Bi 0.746 0.323 0.965
Bi 0.834 0.416 0.416
Bi 0.965 0.465 0.746

Results
symmetry: Fddd
DFT total energy: -4.821 eV per atom
total moment: 0.0 Bohr magnetons per cell
formation energy: -0.657 eV/atom

---

Computed, not measured: a relaxed structure of Ba2Pa2Bi5 at the PBE-GGA level of DFT.

Cell lengths 9.784, 9.784, 8.577 Å; angles 90.00, 90.00, 51.88 degrees
Element x y z (fractional)
Ba 0.204 0.204 0.000
Ba 0.296 0.296 0.500
Ba 0.704 0.704 0.500
Ba 0.796 0.796 0.000
Pa 0.143 0.857 0.644
Pa 0.357 0.643 0.144
Pa 0.643 0.357 0.856
Pa 0.857 0.143 0.356
Bi 0.000 0.000 0.000
Bi 0.034 0.729 0.348
Bi 0.229 0.534 0.848
Bi 0.271 0.966 0.348
Bi 0.466 0.771 0.848
Bi 0.500 0.500 0.500
Bi 0.534 0.229 0.152
Bi 0.729 0.034 0.652
Bi 0.771 0.466 0.152
Bi 0.966 0.271 0.652

Results
symmetry: Cmce
DOS at the Fermi energy: 21.234 states/eV per cell
DFT total energy: -5.192 eV per atom
total moment: 2.7 Bohr magnetons per cell
formation energy: -0.498 eV/atom

---

Computed, not measured: a relaxed structure of Ba3PaBi4 at the PBE-GGA level of DFT.

Cell lengths 9.905, 13.969, 4.885 Å; angles 90.00, 90.00, 90.00 degrees
Element x y z (fractional)
Ba 0.000 0.000 0.000
Ba 0.250 0.250 0.500
Ba 0.250 0.750 0.500
Ba 0.500 0.500 0.000
Ba 0.750 0.250 0.500
Ba 0.750 0.750 0.500
Pa 0.000 0.500 0.000
Pa 0.500 0.000 0.000
Bi 0.000 0.275 0.000
Bi 0.000 0.725 0.000
Bi 0.211 0.500 0.500
Bi 0.289 0.000 0.500
Bi 0.500 0.225 0.000
Bi 0.500 0.775 0.000
Bi 0.711 0.000 0.500
Bi 0.789 0.500 0.500

Results
symmetry: Cmmm
DOS at the Fermi energy: 17.291 states/eV per cell
DFT total energy: -4.487 eV per atom
total moment: 0.0 Bohr magnetons per cell
formation energy: -0.638 eV/atom

---

Look up the DFT total energy of the first one.
-4.821 eV per atom

---

Which value of total moment does entry 1 give?
0.0 Bohr magnetons per cell

---

The lowest formation energy belongs to which entry?
Ba2PaBi3

---

Which value of DFT total energy does entry 1 give?
-4.821 eV per atom